Arrangement w

PBE Nb2AuBr, relaxed; size of the total moment = 0.00 Bohr magnetons per cell; V = 72 Å³/f.u.; symmetry = Fm-3m, No. 225; DOS at the Fermi energy = 2.91 states/eV/cell
1.0
-1.848 -4.161 1.067
-3.484 -0.284 3.106
-4.322 -1.074 -1.426
Au Nb Br
1 2 1
direct
0.500 0.500 0.500
0.250 0.250 0.250
0.750 0.750 0.750
0.000 0.000 0.000

Arrangement x

PBE Nb2AuBr, relaxed; size of the total moment = 0.00 Bohr magnetons per cell; V = 83 Å³/f.u.; symmetry = I-42d, No. 122; DOS at the Fermi energy = 6.88 states/eV/cell
1.0
-0.467 -3.356 -2.451
3.868 -1.252 0.978
-1.744 -7.198 6.622
Br Nb Au
2 4 2
direct
0.500 0.500 0.000
0.250 0.750 0.500
0.875 0.882 0.750
0.632 0.125 0.250
0.375 0.368 0.750
0.118 0.625 0.250
0.750 0.250 0.500
0.000 0.000 0.000

It is arrangement x that is the least stable of them.